Record 1
This record from the Alexandria database describes a PBEsol-optimized structure of La2AgAu. The functional is meta-GGA SCAN.

* offset from the most stable computed form: 0 meV/atom
* size of the total moment: 0.00 μB per atom
* E_form: -0.6995 eV/atom

The structure in CIF format:
```
data_La2AgAu
_chemical_formula_sum 'La2 Ag1 Au1'
_cell_length_a 3.934
_cell_length_b 4.787
_cell_length_c 5.977
_cell_angle_alpha 90.00
_cell_angle_beta 107.89
_cell_angle_gamma 90.00
_symmetry_space_group_name_H-M 'P 1 m 1'
_symmetry_Int_Tables_number 6
loop_
_symmetry_equiv_pos_as_xyz
'x,y,z'
'x,-y,z'
loop_
_atom_site_label
_atom_site_type_symbol
_atom_site_fract_x
_atom_site_fract_y
_atom_site_fract_z
_atom_site_occupancy
La1 La 0.000 0.000 0.000 1
La2 La 0.263 0.500 0.553 1
Ag1 Ag 0.556 0.500 0.118 1
Au1 Au 0.709 0.000 0.438 1
```

=====

Record 2
This record from the Alexandria database describes a PBEsol-optimized structure of LaAgAu3. The functional is meta-GGA SCAN.

* size of the total moment: 0.00 μB per atom
* E_form: 0.4734 eV/atom

The structure in CIF format:
```
data_LaAgAu3
_chemical_formula_sum 'La1 Ag1 Au3'
_cell_length_a 5.466
_cell_length_b 5.466
_cell_length_c 5.466
_cell_angle_alpha 90.00
_cell_angle_beta 90.00
_cell_angle_gamma 90.00
_symmetry_space_group_name_H-M 'P m -3 m'
_symmetry_Int_Tables_number 221
_symmetry_space_group_name_Hall '-P 4 2 3'
loop_
_atom_site_label
_atom_site_type_symbol
_atom_site_fract_x
_atom_site_fract_y
_atom_site_fract_z
_atom_site_occupancy
La1 La 0.000 0.000 0.000 1
Ag1 Ag 0.500 0.500 0.500 1
Au1 Au 0.000 0.000 0.500 1
```

=====

Record 3
This record from the Alexandria database describes a PBEsol-optimized structure of LaTiAg2Au. The functional is meta-GGA SCAN.

* size of the total moment: 0.37 μB per atom
* E_form: 0.7508 eV/atom

The structure in CIF format:
```
data_LaTiAg2Au
_chemical_formula_sum 'La1 Ti1 Ag2 Au1'
_cell_length_a 4.848
_cell_length_b 4.848
_cell_length_c 5.371
_cell_angle_alpha 90.00
_cell_angle_beta 90.00
_cell_angle_gamma 90.00
_symmetry_space_group_name_H-M 'P 4/m m m'
_symmetry_Int_Tables_number 123
_symmetry_space_group_name_Hall '-P 4 2'
loop_
_atom_site_label
_atom_site_type_symbol
_atom_site_fract_x
_atom_site_fract_y
_atom_site_fract_z
_atom_site_occupancy
La1 La 0.000 0.000 0.000 1
Ti1 Ti 0.000 0.000 0.500 1
Ag1 Ag 0.000 0.500 0.500 1
Au1 Au 0.500 0.500 0.000 1
```

=====

Record 4
This record from the Alexandria database describes a PBEsol-optimized structure of LiAg2Au. The functional is meta-GGA SCAN.

* size of the total moment: 0.00 μB per atom
* E_form: -0.2756 eV/atom

The structure in CIF format:
```
data_LiAg2Au
_chemical_formula_sum 'Li2 Ag4 Au2'
_cell_length_a 3.970
_cell_length_b 3.970
_cell_length_c 8.102
_cell_angle_alpha 90.00
_cell_angle_beta 90.00
_cell_angle_gamma 90.00
_symmetry_space_group_name_H-M 'I 4/m m m'
_symmetry_Int_Tables_number 139
_symmetry_space_group_name_Hall '-I 4 2'
loop_
_atom_site_label
_atom_site_type_symbol
_atom_site_fract_x
_atom_site_fract_y
_atom_site_fract_z
_atom_site_occupancy
Li1 Li 0.000 0.000 0.000 1
Ag1 Ag 0.000 0.500 0.250 1
Au1 Au 0.000 0.000 0.500 1
```

=====

Record 5
This record from the Alexandria database describes a PBEsol-optimized structure of LiAg2Au. The functional is meta-GGA SCAN.

* size of the total moment: 0.00 μB per atom
* E_form: -0.2186 eV/atom

The structure in CIF format:
```
data_LiAg2Au
_chemical_formula_sum 'Li1 Ag2 Au1'
_cell_length_a 2.770
_cell_length_b 4.280
_cell_length_c 5.477
_cell_angle_alpha 90.00
_cell_angle_beta 100.16
_cell_angle_gamma 90.00
_symmetry_space_group_name_H-M 'P 1 2/m 1'
_symmetry_Int_Tables_number 10
loop_
_symmetry_equiv_pos_as_xyz
'x,y,z'
'-x,-y,-z'
'-x,y,-z'
'x,-y,z'
loop_
_atom_site_label
_atom_site_type_symbol
_atom_site_fract_x
_atom_site_fract_y
_atom_site_fract_z
_atom_site_occupancy
Li1 Li 0.000 0.000 0.000 1
Ag1 Ag 0.429 0.500 0.241 1
Au1 Au 0.000 0.000 0.500 1
```

=====

Record 6
This record from the Alexandria database describes a PBEsol-optimized structure of LiAg2Au2. The functional is meta-GGA SCAN.

* size of the total moment: 0.00 μB per atom
* E_form: -0.1233 eV/atom

The structure in CIF format:
```
data_LiAg2Au2
_chemical_formula_sum 'Li2 Ag4 Au4'
_cell_length_a 3.800
_cell_length_b 3.800
_cell_length_c 13.295
_cell_angle_alpha 90.00
_cell_angle_beta 90.00
_cell_angle_gamma 90.00
_symmetry_space_group_name_H-M 'I 4/m m m'
_symmetry_Int_Tables_number 139
_symmetry_space_group_name_Hall '-I 4 2'
loop_
_atom_site_label
_atom_site_type_symbol
_atom_site_fract_x
_atom_site_fract_y
_atom_site_fract_z
_atom_site_occupancy
Li1 Li 0.000 0.000 0.000 1
Ag1 Ag 0.000 0.500 0.250 1
Au1 Au 0.000 0.000 0.402 1
```

=====

Record 7
This record from the Alexandria database describes a PBEsol-optimized structure of LiAg2Au. The functional is meta-GGA SCAN.

* size of the total moment: 0.00 μB per atom
* E_form: -0.2725 eV/atom

The structure in CIF format:
```
data_LiAg2Au
_chemical_formula_sum 'Li1 Ag2 Au1'
_cell_length_a 3.987
_cell_length_b 3.987
_cell_length_c 3.989
_cell_angle_alpha 90.00
_cell_angle_beta 90.00
_cell_angle_gamma 90.00
_symmetry_space_group_name_H-M 'P 4/m m m'
_symmetry_Int_Tables_number 123
_symmetry_space_group_name_Hall '-P 4 2'
loop_
_atom_site_label
_atom_site_type_symbol
_atom_site_fract_x
_atom_site_fract_y
_atom_site_fract_z
_atom_site_occupancy
Li1 Li 0.000 0.000 0.000 1
Ag1 Ag 0.000 0.500 0.500 1
Au1 Au 0.500 0.500 0.000 1
```

=====

Record 8
This record from the Alexandria database describes a PBEsol-optimized structure of LiAgAu. The functional is meta-GGA SCAN.

* offset from the most stable computed form: 7 meV/atom
* size of the total moment: 0.00 μB per atom
* E_form: -0.3521 eV/atom

The structure in CIF format:
```
data_LiAgAu
_chemical_formula_sum 'Li1 Ag1 Au1'
_cell_length_a 4.4125
_cell_length_b 4.4125
_cell_length_c 2.7815
_cell_angle_alpha 90.00
_cell_angle_beta 90.00
_cell_angle_gamma 120.00
_symmetry_space_group_name_H-M 'P 3 m 1'
_symmetry_Int_Tables_number 156
loop_
_symmetry_equiv_pos_as_xyz
'x,y,z'
'-y,x-y,z'
'-x+y,-x,z'
'-y,-x,z'
'-x+y,y,z'
'x,x-y,z'
loop_
_atom_site_label
_atom_site_type_symbol
_atom_site_fract_x
_atom_site_fract_y
_atom_site_fract_z
_atom_site_occupancy
Li1 Li 0.0000 0.0000 0.0000 1
Ag1 Ag 0.3333 0.6667 0.2811 1
Au1 Au 0.6667 0.3333 0.7258 1
```